First-principles (PBE-GGA) data for a relaxed structure of Pm5PrNi2, as listed in Alexandria.

Geometry as extended XYZ:
```
8
Lattice="-1.348 0.217 4.644 -1.702 -7.288 2.369 5.005 -4.370 4.179" Properties=species:S:1:pos:R:3 pbc="T T T"
Ni 1.262 -8.059 8.311
Ni 0.693 -3.381 2.882
Pm 1.651 -5.829 3.274
Pm 1.828 -3.248 5.728
Pm 3.235 -6.841 6.304
Pm 0.127 -8.193 5.465
Pm -1.280 -4.599 4.889
Pr 0.000 0.000 0.000
```

E_form (meV per atom): -74
VASP energy (eV/cell): -40.7
SG: Immm
Total magnetization (μB/f.u.): 0.0
D(E_F) (states/eV/f.u.): 7.6